## w
Computed, not measured: an optimized crystal structure of Dy2ThHg at the PBE level of DFT.

Cell lengths 4.8580, 4.8580, 4.8152 Å; angles 90.00, 90.00, 90.00 degrees
Fractional positions:
Dy 0.0000 0.5000 0.0000
Dy 0.5000 0.0000 0.0000
Th 0.0000 0.0000 0.5000
Hg 0.5000 0.5000 0.5000

---

## x
Computed, not measured: an optimized crystal structure of Dy2ThHg at the PBE level of DFT.

Cell lengths 3.6170, 3.6170, 8.7203 Å; angles 90.00, 90.00, 90.00 degrees
Fractional positions:
Dy 0.0000 0.0000 0.2257
Dy 0.0000 0.0000 0.7743
Th 0.5000 0.5000 0.5000
Hg 0.5000 0.5000 0.0000

---

Computed relative energies in units of meV per atom: w 161; x 0

---

## w
Computed, not measured: an optimized crystal structure of Dy2ThHg at the PBE level of DFT.

Cell lengths 10.6832, 10.6832, 10.6832 Å; angles 19.48, 19.48, 19.48 degrees
Fractional positions:
Dy 0.2433 0.2433 0.2433
Dy 0.7567 0.7567 0.7567
Th 0.0000 0.0000 0.0000
Hg 0.5000 0.5000 0.5000

---

## x
Computed, not measured: an optimized crystal structure of Dy2ThHg at the PBE level of DFT.

Cell lengths 10.8280, 10.8280, 10.8280 Å; angles 19.18, 19.18, 19.18 degrees
Fractional positions:
Dy 0.0000 0.0000 0.0000
Dy 0.1828 0.1828 0.1828
Th 0.7578 0.7578 0.7578
Hg 0.5916 0.5916 0.5916

---

Computed relative energies in units of meV per atom: w 0; x 50

---

## w
Computed, not measured: an optimized crystal structure of DyTh2Hg at the PBE level of DFT.

Cell lengths 4.7998, 4.7998, 5.0344 Å; angles 90.00, 90.00, 90.00 degrees
Fractional positions:
Dy 0.0000 0.0000 0.0000
Th 0.0000 0.5000 0.5000
Th 0.5000 0.0000 0.5000
Hg 0.5000 0.5000 0.0000

---

## x
Computed, not measured: an optimized crystal structure of DyTh2Hg at the PBE level of DFT.

Cell lengths 12.3340, 12.3340, 12.3340 Å; angles 15.86, 15.86, 15.86 degrees
Fractional positions:
Dy 0.0000 0.0000 0.0000
Th 0.0919 0.0919 0.0919
Th 0.9081 0.9081 0.9081
Hg 0.5000 0.5000 0.5000

---

Computed relative energies in units of meV per atom: w 0; x 235

---

## w
Computed, not measured: an optimized crystal structure of Dy2TiHg at the PBE level of DFT.

Cell lengths 3.4343, 3.4343, 8.4375 Å; angles 90.00, 90.00, 90.00 degrees
Fractional positions:
Dy 0.0000 0.0000 0.2457
Dy 0.0000 0.0000 0.7543
Ti 0.5000 0.5000 0.0000
Hg 0.5000 0.5000 0.5000

---

## x
Computed, not measured: an optimized crystal structure of Dy2TiHg at the PBE level of DFT.

Cell lengths 11.2237, 11.2237, 11.2237 Å; angles 17.09, 17.09, 17.09 degrees
Fractional positions:
Dy 0.0893 0.0893 0.0893
Dy 0.9107 0.9107 0.9107
Ti 0.0000 0.0000 0.0000
Hg 0.5000 0.5000 0.5000

---

## y
Computed, not measured: an optimized crystal structure of Dy2TiHg at the PBE level of DFT.

Cell lengths 5.0665, 5.0665, 3.8960 Å; angles 90.00, 90.00, 90.00 degrees
Fractional positions:
Dy 0.0000 0.5000 0.0000
Dy 0.5000 0.0000 0.0000
Ti 0.0000 0.0000 0.5000
Hg 0.5000 0.5000 0.5000

---

Computed relative energies in units of meV per atom: w 0; x 417; y 45

---

## w
Computed, not measured: an optimized crystal structure of DyTiHg2 at the PBE level of DFT.

Cell lengths 4.6259, 4.6259, 4.1847 Å; angles 90.00, 90.00, 90.00 degrees
Fractional positions:
Dy 0.0000 0.0000 0.0000
Ti 0.5000 0.5000 0.0000
Hg 0.0000 0.5000 0.5000
Hg 0.5000 0.0000 0.5000

---

## x
Computed, not measured: an optimized crystal structure of DyTiHg2 at the PBE level of DFT.

Cell lengths 5.0315, 5.0315, 5.0315 Å; angles 60.00, 60.00, 60.00 degrees
Fractional positions:
Dy 0.0000 0.0000 0.0000
Ti 0.5000 0.5000 0.5000
Hg 0.2500 0.2500 0.2500
Hg 0.7500 0.7500 0.7500

---

Computed relative energies in units of meV per atom: w 20; x 0

---

## w
Computed, not measured: an optimized crystal structure of Dy4TlHg at the PBE level of DFT.

Cell lengths 8.8017, 3.7459, 20.7785 Å; angles 90.00, 90.00, 90.00 degrees
Fractional positions:
Dy 0.0244 0.2500 0.2140
Dy 0.0285 0.2500 0.9279
Dy 0.1227 0.2500 0.4392
Dy 0.1502 0.2500 0.6620
Dy 0.3498 0.7500 0.1620
Dy 0.3773 0.7500 0.9392
Dy 0.4715 0.7500 0.4279
Dy 0.4756 0.7500 0.7140
Dy 0.5244 0.2500 0.2860
Dy 0.5285 0.2500 0.5721
Dy 0.6227 0.2500 0.0608
Dy 0.6502 0.2500 0.8380
Dy 0.8498 0.7500 0.3380
Dy 0.8773 0.7500 0.5608
Dy 0.9715 0.7500 0.0721
Dy 0.9756 0.7500 0.7860
Tl 0.2201 0.7500 0.3136
Tl 0.2799 0.2500 0.8136
Tl 0.7201 0.7500 0.1864
Tl 0.7799 0.2500 0.6864
Hg 0.2448 0.7500 0.5491
Hg 0.2552 0.2500 0.0491
Hg 0.7448 0.7500 0.9509
Hg 0.7552 0.2500 0.4509

---

## x
Computed, not measured: an optimized crystal structure of Dy4TlHg at the PBE level of DFT.

Cell lengths 5.1198, 5.1198, 7.3209 Å; angles 90.00, 90.00, 90.00 degrees
Fractional positions:
Dy 0.0000 0.5000 0.2415
Dy 0.0000 0.5000 0.7585
Dy 0.5000 0.0000 0.2415
Dy 0.5000 0.0000 0.7585
Tl 0.0000 0.0000 0.5000
Hg 0.5000 0.5000 0.0000

---

Computed relative energies in units of meV per atom: w 0; x 199

---

## w
Computed, not measured: an optimized crystal structure of Dy8TlHg2 at the PBE level of DFT.

Cell lengths 8.4821, 8.4821, 5.4934 Å; angles 100.47, 100.47, 117.47 degrees
Fractional positions:
Dy 0.0937 0.3262 0.6086
Dy 0.2240 0.7760 0.0000
Dy 0.3262 0.0937 0.6086
Dy 0.3976 0.3976 0.1985
Dy 0.6024 0.6024 0.8015
Dy 0.6738 0.9063 0.3914
Dy 0.7760 0.2240 0.0000
Dy 0.9063 0.6738 0.3914
Tl 0.0000 0.0000 0.0000
Hg 0.3048 0.6952 0.5000
Hg 0.6952 0.3048 0.5000

---

## x
Computed, not measured: an optimized crystal structure of Dy8TlHg2 at the PBE level of DFT.

Cell lengths 8.9094, 8.9094, 8.9094 Å; angles 147.14, 123.55, 66.88 degrees
Fractional positions:
Dy 0.1189 0.3377 0.7812
Dy 0.1370 0.1370 0.0000
Dy 0.3106 0.0000 0.3106
Dy 0.4434 0.6623 0.7812
Dy 0.5566 0.3377 0.2188
Dy 0.6894 0.0000 0.6894
Dy 0.8630 0.8630 0.0000
Dy 0.8811 0.6623 0.2188
Tl 0.0000 0.5000 0.5000
Hg 0.3019 0.8019 0.5000
Hg 0.6981 0.1981 0.5000

---

Computed relative energies in units of meV per atom: w 33; x 0

---

## w
Computed, not measured: an optimized crystal structure of Dy4Tl2Hg3 at the PBE level of DFT.

Cell lengths 5.1844, 5.1844, 10.2224 Å; angles 90.11, 90.11, 59.91 degrees
Fractional positions:
Dy 0.0000 0.0000 0.1694
Dy 0.0000 0.0000 0.8306
Dy 0.3333 0.3333 0.6158
Dy 0.6667 0.6667 0.3842
Tl 0.3335 0.3335 0.2861
Tl 0.6665 0.6665 0.7139
Hg 0.0000 0.0000 0.5000
Hg 0.3334 0.3334 0.9393
Hg 0.6666 0.6666 0.0607

---

## x
Computed, not measured: an optimized crystal structure of Dy4Tl2Hg3 at the PBE level of DFT.

Cell lengths 8.5970, 8.5970, 9.0769 Å; angles 90.00, 90.00, 130.63 degrees
Fractional positions:
Dy 0.1893 0.8107 0.9660
Dy 0.2201 0.2799 0.7500
Dy 0.2799 0.2201 0.2500
Dy 0.3107 0.6893 0.4660
Dy 0.6893 0.3107 0.5340
Dy 0.7201 0.7799 0.7500
Dy 0.7799 0.7201 0.2500
Dy 0.8107 0.1893 0.0340
Tl 0.1103 0.8897 0.5627
Tl 0.3897 0.6103 0.0627
Tl 0.6103 0.3897 0.9373
Tl 0.8897 0.1103 0.4373
Hg 0.0000 0.0000 0.0000
Hg 0.0269 0.4731 0.7500
Hg 0.4731 0.0269 0.2500
Hg 0.5000 0.5000 0.5000
Hg 0.5269 0.9731 0.7500
Hg 0.9731 0.5269 0.2500

---

Computed relative energies in units of meV per atom: w 0; x 75